1.
# RuWCl2 (GGA-PBE, optimized geometry)
# Energy relative to the elements, uncorrected = 4.60 eV per formula unit
# Energy above the most stable polymorph in this dataset = 129.94 kJ/mol of atoms
# DFT total energy = -21.33 eV per formula unit
# Magnetic moment = 0.00 μB/cell
data_RuWCl2
_space_group_name_H-M_alt 'P 4/m m m'
_space_group_IT_number 123
_space_group_name_Hall '-P 4 2'
_cell_length_a 3.0860
_cell_length_b 3.0860
_cell_length_c 6.1205
_cell_angle_alpha 90.00
_cell_angle_beta 90.00
_cell_angle_gamma 90.00
loop_
_atom_site_label
_atom_site_fract_x
_atom_site_fract_y
_atom_site_fract_z
_atom_site_occupancy
Ru1 0.0000 0.0000 0.0000 1
W1 0.0000 0.0000 0.5000 1
Cl1 0.5000 0.5000 0.2558 1

2.
# Dy2PuMnN5 (GGA-PBE, optimized geometry)
# Energy relative to the elements, uncorrected = -9.51 eV per formula unit
# DFT total energy = -83.84 eV per formula unit
# Magnetic moment = 24.08 μB/cell
data_Dy2PuMnN5
_space_group_name_H-M_alt 'C m c 21'
_space_group_IT_number 36
_cell_length_a 3.3721
_cell_length_b 13.4653
_cell_length_c 10.1186
_cell_angle_alpha 90.00
_cell_angle_beta 90.00
_cell_angle_gamma 90.00
loop_
_space_group_symop_operation_xyz
'x,y,z'
'-x,-y,z+1/2'
'-x,y,z'
'x,-y,z+1/2'
'x+1/2,y+1/2,z'
'-x+1/2,-y+1/2,z+1/2'
'-x+1/2,y+1/2,z'
'x+1/2,-y+1/2,z+1/2'
loop_
_atom_site_label
_atom_site_fract_x
_atom_site_fract_y
_atom_site_fract_z
_atom_site_occupancy
Dy1 0.0000 0.1042 0.0000 1
Dy2 0.0000 0.1338 0.6139 1
Pu1 0.0000 0.2079 0.3208 1
Mn1 0.0000 0.4848 0.7718 1
N1 0.0000 0.0453 0.3526 1
N2 0.0000 0.2825 0.9651 1
N3 0.0000 0.3210 0.6873 1
N4 0.0000 0.3762 0.3152 1
N5 0.0000 0.4893 0.0934 1

3.
# RbMgTl2 (GGA-PBE, optimized geometry)
# Energy above the most stable polymorph in this dataset = 2.00 kJ/mol of atoms
# DFT total energy = -7.52 eV per formula unit
# Magnetic moment = 0.00 μB/cell
data_RbMgTl2
_space_group_name_H-M_alt 'P 1 21/m 1'
_space_group_IT_number 11
_cell_length_a 6.5172
_cell_length_b 5.1003
_cell_length_c 8.9593
_cell_angle_alpha 90.00
_cell_angle_beta 110.22
_cell_angle_gamma 90.00
loop_
_space_group_symop_operation_xyz
'x,y,z'
'-x,-y,-z'
'-x,y+1/2,-z'
'x,-y+1/2,z'
loop_
_atom_site_label
_atom_site_fract_x
_atom_site_fract_y
_atom_site_fract_z
_atom_site_occupancy
Rb1 0.2173 0.2500 0.4278 1
Mg1 0.2020 0.2500 0.9064 1
Tl1 0.2812 0.7500 0.1326 1
Tl2 0.3779 0.7500 0.7911 1

4.
# AlSiRh2 (GGA-PBE, optimized geometry)
# Energy relative to the elements, uncorrected = -1.03 eV per formula unit
# DFT total energy = -24.90 eV per formula unit
# Magnetic moment = 0.00 μB/cell
data_AlSiRh2
_space_group_name_H-M_alt 'F -4 3 m'
_space_group_IT_number 216
_space_group_name_Hall 'F -4 2 3'
_cell_length_a 6.0833
_cell_length_b 6.0833
_cell_length_c 6.0833
_cell_angle_alpha 90.00
_cell_angle_beta 90.00
_cell_angle_gamma 90.00
loop_
_atom_site_label
_atom_site_fract_x
_atom_site_fract_y
_atom_site_fract_z
_atom_site_occupancy
Al1 0.0000 0.0000 0.0000 1
Si1 0.2500 0.2500 0.2500 1
Rh1 0.0000 0.0000 0.5000 1
Rh2 0.2500 0.2500 0.7500 1

5.
# NbIn3Ag (GGA-PBE, optimized geometry)
# Energy above the most stable polymorph in this dataset = 0.00 kJ/mol of atoms
# DFT total energy = -17.36 eV per formula unit
# Magnetic moment = 0.00 μB/cell
data_NbIn3Ag
_space_group_name_H-M_alt 'P m -3 m'
_space_group_IT_number 221
_space_group_name_Hall '-P 4 2 3'
_cell_length_a 5.4068
_cell_length_b 5.4068
_cell_length_c 5.4068
_cell_angle_alpha 90.00
_cell_angle_beta 90.00
_cell_angle_gamma 90.00
loop_
_atom_site_label
_atom_site_fract_x
_atom_site_fract_y
_atom_site_fract_z
_atom_site_occupancy
Nb1 0.0000 0.0000 0.0000 1
In1 0.0000 0.0000 0.5000 1
Ag1 0.5000 0.5000 0.5000 1

6.
# SiBiSeN2 (GGA-PBE, optimized geometry)
# Energy relative to the elements, uncorrected = 8.42 eV per formula unit
# Energy above the most stable polymorph in this dataset = 95.59 kJ/mol of atoms
# DFT total energy = -21.02 eV per formula unit
# Magnetic moment = 1.50 μB/cell
data_SiBiSeN2
_space_group_name_H-M_alt 'P 4/m m m'
_space_group_IT_number 123
_space_group_name_Hall '-P 4 2'
_cell_length_a 4.2749
_cell_length_b 4.2749
_cell_length_c 5.8403
_cell_angle_alpha 90.00
_cell_angle_beta 90.00
_cell_angle_gamma 90.00
loop_
_atom_site_label
_atom_site_fract_x
_atom_site_fract_y
_atom_site_fract_z
_atom_site_occupancy
Si1 0.0000 0.0000 0.0000 1
Bi1 0.5000 0.5000 0.5000 1
Se1 0.5000 0.5000 0.0000 1
N1 0.0000 0.5000 0.5000 1

7.
# SrSi2Ru (GGA-PBE, optimized geometry)
# Energy relative to the elements, uncorrected = 1.73 eV per formula unit
# DFT total energy = -20.07 eV per formula unit
# Magnetic moment = 0.00 μB/cell
data_SrSi2Ru
_space_group_name_H-M_alt 'C 1 2/m 1'
_space_group_IT_number 12
_cell_length_a 5.7161
_cell_length_b 8.1625
_cell_length_c 3.1842
_cell_angle_alpha 90.00
_cell_angle_beta 94.92
_cell_angle_gamma 90.00
loop_
_space_group_symop_operation_xyz
'x,y,z'
'-x,-y,-z'
'-x,y,-z'
'x,-y,z'
'x+1/2,y+1/2,z'
'-x+1/2,-y+1/2,-z'
'-x+1/2,y+1/2,-z'
'x+1/2,-y+1/2,z'
loop_
_atom_site_label
_atom_site_fract_x
_atom_site_fract_y
_atom_site_fract_z
_atom_site_occupancy
Sr1 0.0000 0.0000 0.0000 1
Si1 0.2500 0.2500 0.5000 1
Ru1 0.0000 0.5000 0.0000 1

8.
# Tb4Dy5Er2 (GGA-PBE, optimized geometry)
# Energy above the most stable polymorph in this dataset = 6.25 kJ/mol of atoms
# DFT total energy = -49.24 eV per formula unit
# Magnetic moment = 0.00 μB/cell
data_Tb4Dy5Er2
_space_group_name_H-M_alt 'C 1 2/m 1'
_space_group_IT_number 12
_cell_length_a 10.9459
_cell_length_b 7.3248
_cell_length_c 9.0936
_cell_angle_alpha 90.00
_cell_angle_beta 106.56
_cell_angle_gamma 90.00
loop_
_space_group_symop_operation_xyz
'x,y,z'
'-x,-y,-z'
'-x,y,-z'
'x,-y,z'
'x+1/2,y+1/2,z'
'-x+1/2,-y+1/2,-z'
'-x+1/2,y+1/2,-z'
'x+1/2,-y+1/2,z'
loop_
_atom_site_label
_atom_site_fract_x
_atom_site_fract_y
_atom_site_fract_z
_atom_site_occupancy
Tb1 0.1696 0.0000 0.1201 1
Tb2 0.1866 0.0000 0.4986 1
Dy1 0.0000 0.5000 0.5000 1
Dy2 0.0694 0.2205 0.7767 1
Er1 0.1438 0.5000 0.1219 1

9.
# BaGe3Rh5 (GGA-PBE, optimized geometry)
# DFT total energy = -57.32 eV per formula unit
# Magnetic moment = 0.00 μB/cell
data_BaGe3Rh5
_space_group_name_H-M_alt 'C m c m'
_space_group_IT_number 63
_space_group_name_Hall '-C 2c 2'
_cell_length_a 4.0513
_cell_length_b 12.9911
_cell_length_c 12.5339
_cell_angle_alpha 90.00
_cell_angle_beta 90.00
_cell_angle_gamma 90.00
loop_
_atom_site_label
_atom_site_fract_x
_atom_site_fract_y
_atom_site_fract_z
_atom_site_occupancy
Ba1 0.0000 0.1718 0.2500 1
Ge1 0.0000 0.1032 0.7500 1
Ge2 0.0000 0.3803 0.5400 1
Rh1 0.0000 0.0000 0.0000 1
Rh2 0.0000 0.1962 0.5658 1
Rh3 0.0000 0.4492 0.1426 1

10.
# Tm6HgPd5 (GGA-PBE, optimized geometry)
# Energy above the most stable polymorph in this dataset = 13.13 kJ/mol of atoms
# DFT total energy = -61.69 eV per formula unit
# Magnetic moment = 0.00 μB/cell
data_Tm6HgPd5
_space_group_name_H-M_alt 'C 1 2/m 1'
_space_group_IT_number 12
_cell_length_a 7.1977
_cell_length_b 11.4283
_cell_length_c 7.1442
_cell_angle_alpha 90.00
_cell_angle_beta 105.62
_cell_angle_gamma 90.00
loop_
_space_group_symop_operation_xyz
'x,y,z'
'-x,-y,-z'
'-x,y,-z'
'x,-y,z'
'x+1/2,y+1/2,z'
'-x+1/2,-y+1/2,-z'
'-x+1/2,y+1/2,-z'
'x+1/2,-y+1/2,z'
loop_
_atom_site_label
_atom_site_fract_x
_atom_site_fract_y
_atom_site_fract_z
_atom_site_occupancy
Tm1 0.1994 0.0000 0.2172 1
Tm2 0.2204 0.1793 0.7180 1
Hg1 0.0000 0.5000 0.0000 1
Pd1 0.0000 0.0000 0.5000 1
Pd2 0.0000 0.1935 0.0000 1
Pd3 0.0000 0.3709 0.5000 1

11.
# KGaRh2 (GGA-PBE, optimized geometry)
# DFT total energy = -17.50 eV per formula unit
# Magnetic moment = 2.85 μB/cell
data_KGaRh2
_space_group_name_H-M_alt 'I -4 2 d'
_space_group_IT_number 122
_space_group_name_Hall 'I -4 2bw'
_cell_length_a 4.7998
_cell_length_b 4.7998
_cell_length_c 17.2236
_cell_angle_alpha 90.00
_cell_angle_beta 90.00
_cell_angle_gamma 90.00
loop_
_atom_site_label
_atom_site_fract_x
_atom_site_fract_y
_atom_site_fract_z
_atom_site_occupancy
K1 0.0000 0.0000 0.0000 1
Ga1 0.0000 0.0000 0.5000 1
Rh1 0.0803 0.2500 0.6250 1

12.
# Ti5AlC6 (GGA-PBE, optimized geometry)
# DFT total energy = -104.87 eV per formula unit
# Magnetic moment = 0.00 μB/cell
data_Ti5AlC6
_space_group_name_H-M_alt 'C 1 2/m 1'
_space_group_IT_number 12
_cell_length_a 5.3064
_cell_length_b 9.1890
_cell_length_c 5.3089
_cell_angle_alpha 90.00
_cell_angle_beta 109.65
_cell_angle_gamma 90.00
loop_
_space_group_symop_operation_xyz
'x,y,z'
'-x,-y,-z'
'-x,y,-z'
'x,-y,z'
'x+1/2,y+1/2,z'
'-x+1/2,-y+1/2,-z'
'-x+1/2,y+1/2,-z'
'x+1/2,-y+1/2,z'
loop_
_atom_site_label
_atom_site_fract_x
_atom_site_fract_y
_atom_site_fract_z
_atom_site_occupancy
Ti1 0.0000 0.0000 0.0000 1
Ti2 0.0000 0.1670 0.5000 1
Ti3 0.0000 0.3333 0.0000 1
Al1 0.0000 0.5000 0.5000 1
C1 0.2480 0.0000 0.7521 1
C2 0.2487 0.1680 0.2503 1

The following V values (in Å³/cell) correspond, in order, to the records above: 58.3, 459.5, 279.4, 225.1, 158.1, 106.7, 148.0, 698.8, 659.7, 566.0, 396.8, 243.8.